The following is a DFT calculation (PBE) of an optimized crystal structure of HgMo.

Output
- Volume: 21.7 A^3/atom
- Polymorph energy (0 for the lowest one): 90 meV/atom
- Raw total energy: -0.1859 Ha/atom

```
data_HgMo
_symmetry_space_group_name_H-M 'P m m n'
_symmetry_Int_Tables_number 59
_cell_length_a 3.088
_cell_length_b 3.256
_cell_length_c 8.625
_cell_angle_alpha 90.00
_cell_angle_beta 90.00
_cell_angle_gamma 90.00
loop_
_symmetry_equiv_pos_as_xyz
'x,y,z'
'-x,-y,-z'
'-x+1/2,-y+1/2,z'
'x+1/2,y+1/2,-z'
'x+1/2,-y,-z'
'-x+1/2,y,z'
'-x,y+1/2,-z'
'x,-y+1/2,z'
loop_
_atom_site_label
_atom_site_type_symbol
_atom_site_fract_x
_atom_site_fract_y
_atom_site_fract_z
_atom_site_occupancy
Hg1 Hg 0.250 0.250 0.141 1
Mo1 Mo 0.250 0.750 0.572 1
```